First-principles (PBEsol) data for a geometry-optimized YIr2Se structure, as listed in Alexandria via LeMat-Bulk.

The energy relative to the elements, uncorrected comes out at -0.161 eV per atom.

Unit cell a=3.0784 b=3.0784 c=7.2513 alpha=90.00 beta=90.00 gamma=90.00
Atoms (fractional coordinates):
Ir (0.0000, 0.0000, 0.2154)
Se (0.5000, 0.5000, 0.0000)
Ir (0.0000, 0.0000, 0.7846)
Y (0.5000, 0.5000, 0.5000)